The following is a DFT calculation (PBE-GGA) of a relaxed ZnPbAu2 crystal.

Values from the calculation:
Its offset from the most stable computed form is 2.80 kcal/mol of atoms. Its energy is -0.213 Ry per atom. The value obtained for the spin magnetization is 0.00 μB/atom. The calculation puts the formation enthalpy at 0 K at -0.01 eV/atom. As for the space-group type: R-3m.

a = 9.105 Å, b = 9.105 Å, c = 9.105 Å
α = 20.77°, β = 20.77°, γ = 20.77°
Fractional positions:
Zn  0.000  0.000  0.000
Pb  0.500  0.500  0.500
Au  0.263  0.263  0.263
Au  0.737  0.737  0.737